# LaMnBN2 (SCAN, single point on PBEsol structure)
# E_form (uncorrected)   1.40 eV/atom
data_LaMnBN2
_chemical_formula_sum 'La1 Mn1 B1 N2'
_symmetry_space_group_name_H-M 'P 4/m m m'
_symmetry_Int_Tables_number 123
_symmetry_space_group_name_Hall '-P 4 2'
_cell_length_a 3.593
_cell_length_b 3.593
_cell_length_c 4.535
_cell_angle_alpha 90.00
_cell_angle_beta 90.00
_cell_angle_gamma 90.00
loop_
_atom_site_label
_atom_site_fract_x
_atom_site_fract_y
_atom_site_fract_z
La1 0.000 0.000 0.000
Mn1 0.500 0.500 0.000
B1 0.000 0.000 0.500
N1 0.000 0.500 0.500